NiH7Pd4 | Alexandria | GGA-PBE | optimized geometry; DFT total energy = -49.031 eV per cell; total magnetic moment = 0.0000 μB per atom
1.0
-2.9176 0.6372 0.2888
0.4997 4.9177 -5.8014
-0.0466 -8.1282 1.8780
H Ni Pd
7 1 4
direct
0.9388 0.2891 0.8775
0.0906 0.3489 0.1812
0.0612 0.7109 0.1225
0.9094 0.6511 0.8188
0.7289 0.7334 0.4577
0.2711 0.2666 0.5423
0.5000 0.0000 0.0000
0.0000 0.0000 0.0000
0.4852 0.6570 0.9703
0.2748 0.7051 0.5496
0.5148 0.3430 0.0297
0.7252 0.2949 0.4504

=====

Ti2BMo | Alexandria | GGA-PBE | optimized geometry; calculated formation energy = -0.3 eV per formula unit; total magnetic moment = 0.0000 μB per atom
1.0
3.2742 0.0000 0.0000
0.0000 4.0565 0.0000
0.0000 0.0000 4.0565
B Mo Ti
1 1 2
direct
0.5000 0.5000 0.5000
0.5000 0.0000 0.0000
0.0000 0.5000 0.0000
0.0000 0.0000 0.5000

=====

VGaH2 | Alexandria | GGA-PBE | optimized geometry; ΔE to the lowest computed polymorph = 210 kJ/mol of formula units; total magnetic moment = 0.3539 μB per atom
1.0
0.0069 -0.5357 3.6418
0.6110 2.8284 2.2752
-2.7444 1.3301 2.0612
H Ga V
2 1 1
direct
0.2500 0.2500 0.2500
0.7500 0.7500 0.7500
0.5000 0.5000 0.5000
0.0000 0.0000 0.0000

=====

Sc2TaV2Ru5 | Alexandria | GGA-PBE | optimized geometry; calculated formation energy = -3.0 eV per formula unit; total magnetic moment = 0.0000 μB per atom
1.0
-2.9339 -0.0230 1.6138
3.0708 -7.5313 5.4752
3.5920 6.2771 6.6199
V Ru Sc Ta
4 10 4 2
direct
0.0000 0.3736 0.1264
0.0000 0.6264 0.8736
0.0000 0.8736 0.3736
0.0000 0.1264 0.6264
0.5000 0.2041 0.0682
0.5000 0.0682 0.7959
0.5000 0.5682 0.7041
0.5000 0.7041 0.4318
0.5000 0.4318 0.2959
0.5000 0.5000 0.0000
0.5000 0.7959 0.9318
0.5000 0.9318 0.2041
0.5000 0.2959 0.5682
0.5000 0.0000 0.5000
0.0000 0.8268 0.6732
0.0000 0.6732 0.1732
0.0000 0.3268 0.8268
0.0000 0.1732 0.3268
0.0000 0.5000 0.5000
0.0000 0.0000 0.0000

=====

Si2AsBr | Alexandria | GGA-PBE | optimized geometry; ΔE to the lowest computed polymorph = 100 kJ/mol of formula units; total magnetic moment = 0.0000 μB per atom; raw formation energy = 0.32 eV per atom
1.0
-0.3810 -2.5363 2.2392
1.3942 -0.8026 -3.0006
8.1035 1.7044 3.3094
As Si Br
1 2 1
direct
0.0000 0.0000 0.4097
0.0000 0.0000 0.0378
0.5000 0.5000 0.2293
0.5000 0.5000 0.8233

=====

RePHW2 | Alexandria | GGA-PBE | optimized geometry; DFT total energy = -38.100 eV per cell; total magnetic moment = 0.0000 μB per atom
1.0
-3.3046 2.9631 0.4387
-2.3249 -2.1541 -2.9630
-1.8057 -2.4918 3.2284
P Re W H
1 1 2 1
direct
0.0000 0.0000 0.0000
0.0000 0.5000 0.0000
0.0000 0.0000 0.5000
0.5000 0.0000 0.0000
0.5000 0.5000 0.5000

=====

Question: total magnetic moment of number 6 (RePHW2)?
Answer: 0.0000 μB per atom

=====

Question: Which of these has the highest total magnetic moment?
Answer: VGaH2

=====

Question: Which formula does entry 2 have?
Answer: Ti2BMo